No. 1
## Fe5Rh (meta-GGA SCAN)

Data for a PBEsol-optimized structure of Fe5Rh.

```
Fe5Rh
1.0
2.849 0.000 0.000
-1.425 4.527 -0.017
0.000 -1.772 5.424
Fe Rh
5 1
Cartesian
1.425 1.787 3.636
0.000 0.034 4.561
1.425 0.000 0.000
1.425 2.721 0.846
0.000 0.968 1.771
1.425 -0.886 2.712
```

## Properties
Energy relative to the elements in eV/f.u.: -0.8
Energy above the lowest structure with this stoichiometry in eV/f.u.: 0.014
VASP energy in eV/atom: -20.87
Density of states at the Fermi level in states/eV per atom: 0.43

=====

No. 2
## FeRh2 (meta-GGA SCAN)

Data for a PBEsol-optimized structure of FeRh2.

```
FeRh2
1.0
-1.906 1.293 1.337
-1.785 -0.610 -4.607
-1.533 -5.284 2.929
Fe Rh
2 4
Cartesian
-0.018 -0.035 0.009
-2.362 -1.074 0.324
-2.551 -1.418 -2.264
-1.241 -3.206 1.332
-2.862 -3.513 -0.681
-3.601 -4.348 1.725
```

## Properties
Energy relative to the elements in eV/f.u.: -0.3
VASP energy in eV/atom: -28.64
Density of states at the Fermi level in states/eV per atom: 0.85

=====

No. 3
## FeRh4 (meta-GGA SCAN)

Data for a PBEsol-optimized structure of FeRh4.

```
FeRh4
1.0
-1.260 -0.222 2.329
1.689 -1.917 0.731
5.388 7.393 2.102
Fe Rh
1 4
Cartesian
0.000 0.000 0.000
1.279 0.132 2.220
2.232 2.519 1.447
3.586 2.736 3.716
4.539 5.123 2.942
```

## Properties
Energy relative to the elements in eV/f.u.: -0.3
Energy above the lowest structure with this stoichiometry in eV/f.u.: 0.000
VASP energy in eV/atom: -30.69
Density of states at the Fermi level in states/eV per atom: 1.20

=====

Calculated density, 9.08; 11.28; 11.95 g/cm3 (same order as the records).